No. 1
This record from Alexandria via LeMat-Bulk describes Y2HgAs after structural relaxation. The functional is GGA-PBE.

POSCAR file:
```
Y2HgAs
1.0
-4.835 1.698 -3.145
2.181 -0.448 -3.594
-1.249 -4.030 -0.255
Y As Hg
2 1 1
direct
0.000 0.875 0.875 Y
0.500 0.375 0.375 Y
0.000 0.375 0.375 As
0.500 0.875 0.875 Hg
```

## Properties
As for the energy above the most stable polymorph in this dataset: 133 meV per atom. Its crystal system is tetragonal. The total energy is -5.2893 eV per atom. The value obtained for the energy relative to the elements is -0.819 eV per atom.

=====

No. 2
This record from Alexandria via LeMat-Bulk describes Y2HgAs after structural relaxation. The functional is GGA-PBE.

POSCAR file:
```
Y2HgAs
1.0
-3.385 0.517 3.860
-1.999 4.634 1.075
-4.962 0.972 -1.032
Y As Hg
2 1 1
direct
0.250 0.250 0.250 Y
0.750 0.750 0.750 Y
0.000 0.000 0.000 As
0.500 0.500 0.500 Hg
```

## Properties
As for the energy above the most stable polymorph in this dataset: 285 meV per atom. Its crystal system is cubic. The total energy is -5.1371 eV per atom. The value obtained for the energy relative to the elements is -0.667 eV per atom.

=====

No. 3
This record from Alexandria via LeMat-Bulk describes YHgAs2 after structural relaxation. The functional is GGA-PBE.

POSCAR file:
```
YHgAs2
1.0
4.081 0.000 0.000
0.000 4.081 0.000
0.000 0.000 5.841
Y As Hg
1 2 1
direct
0.500 0.500 0.840 Y
0.000 0.000 0.903 As
0.500 0.500 0.348 As
0.000 0.000 0.408 Hg
```

## Properties
Its crystal system is tetragonal. The total energy is -4.5490 eV per atom. The value obtained for the energy relative to the elements is -0.533 eV per atom.

=====

No. 4
This record from Alexandria via LeMat-Bulk describes Zn2HgAs after structural relaxation. The functional is GGA-PBE.

POSCAR file:
```
Zn2HgAs
1.0
-0.666 -3.095 -0.617
0.811 -0.778 3.023
-6.971 1.073 2.145
As Hg Zn
1 1 2
direct
0.500 0.500 0.250 As
0.500 0.500 0.750 Hg
0.000 0.000 0.029 Zn
0.000 0.000 0.471 Zn
```

## Properties
Its crystal system is tetragonal. The total energy is -1.6704 eV per atom. The value obtained for the energy relative to the elements is 0.204 eV per atom.

=====

No. 5
This record from Alexandria via LeMat-Bulk describes ZnHg2As after structural relaxation. The functional is GGA-PBE.

POSCAR file:
```
ZnHg2As
1.0
4.972 0.173 0.020
-1.680 4.683 0.020
1.611 2.377 4.007
As Hg Zn
1 2 1
direct
0.000 0.500 0.500 As
0.000 0.000 0.000 Hg
0.500 0.500 0.000 Hg
0.500 0.000 0.500 Zn
```

## Properties
As for the energy above the most stable polymorph in this dataset: 143 meV per atom. Its crystal system is monoclinic. The total energy is -1.4660 eV per atom. The value obtained for the energy relative to the elements is 0.166 eV per atom.

=====

No. 6
This record from Alexandria via LeMat-Bulk describes Zn3HgAs after structural relaxation. The functional is GGA-PBE.

POSCAR file:
```
Zn3HgAs
1.0
-1.203 4.726 1.052
-4.664 -1.422 1.055
1.299 -0.729 4.761
Zn As Hg
3 1 1
direct
0.000 0.500 0.000 Zn
0.000 0.000 0.500 Zn
0.500 0.000 0.000 Zn
0.000 0.000 0.000 As
0.500 0.500 0.500 Hg
```

## Properties
As for the energy above the most stable polymorph in this dataset: 0 meV per atom. Its crystal system is cubic. The total energy is -1.4635 eV per atom. The value obtained for the energy relative to the elements is 0.291 eV per atom.

=====

No. 7
This record from Alexandria via LeMat-Bulk describes ZnHg2As after structural relaxation. The functional is GGA-PBE.

POSCAR file:
```
ZnHg2As
1.0
-2.999 0.860 -2.836
-0.319 -2.346 -3.490
-4.265 -4.233 3.271
As Hg Zn
1 2 1
direct
0.133 0.133 0.379 As
0.116 0.116 0.982 Hg
0.784 0.784 0.724 Hg
0.467 0.467 0.415 Zn
```

## Properties
As for the energy above the most stable polymorph in this dataset: 0 meV per atom. Its crystal system is monoclinic. The total energy is -1.6089 eV per atom. The value obtained for the energy relative to the elements is 0.023 eV per atom.

=====

No. 8
This record from Alexandria via LeMat-Bulk describes Zn2HgAs after structural relaxation. The functional is GGA-PBE.

POSCAR file:
```
Zn2HgAs
1.0
-5.409 2.999 0.366
-2.991 -5.421 0.213
-3.820 -1.203 5.826
Zn As Hg
4 2 2
direct
0.573 0.125 0.250 Zn
0.177 0.625 0.250 Zn
0.375 0.427 0.750 Zn
0.875 0.823 0.750 Zn
0.500 0.500 0.000 As
0.250 0.750 0.500 As
0.000 0.000 0.000 Hg
0.750 0.250 0.500 Hg
```

## Properties
Its crystal system is tetragonal. The total energy is -1.7655 eV per atom. The value obtained for the energy relative to the elements is 0.109 eV per atom.

=====

No. 9
This record from Alexandria via LeMat-Bulk describes Zn2Hg2As after structural relaxation. The functional is GGA-PBE.

POSCAR file:
```
Zn2Hg2As
1.0
7.894 0.000 0.000
0.000 7.894 0.000
0.000 0.000 3.323
Zn As Hg
4 2 4
direct
0.328 0.828 0.000 Zn
0.828 0.672 0.000 Zn
0.672 0.172 0.000 Zn
0.172 0.328 0.000 Zn
0.000 0.000 0.000 As
0.500 0.500 0.000 As
0.134 0.634 0.500 Hg
0.634 0.866 0.500 Hg
0.866 0.366 0.500 Hg
0.366 0.134 0.500 Hg
```

## Properties
As for the energy above the most stable polymorph in this dataset: 0 meV per atom. Its crystal system is tetragonal. The total energy is -1.3250 eV per atom. The value obtained for the energy relative to the elements is 0.235 eV per atom.

=====

No. 10
This record from Alexandria via LeMat-Bulk describes ZnHg2As after structural relaxation. The functional is GGA-PBE.

POSCAR file:
```
ZnHg2As
1.0
-2.359 -3.765 0.842
3.691 -1.916 1.774
-1.585 0.399 9.490
Zn As Hg
2 2 4
direct
0.500 0.500 0.000 Zn
0.250 0.750 0.500 Zn
0.000 0.000 0.000 As
0.750 0.250 0.500 As
0.601 0.125 0.250 Hg
0.149 0.625 0.250 Hg
0.375 0.399 0.750 Hg
0.875 0.851 0.750 Hg
```

## Properties
As for the energy above the most stable polymorph in this dataset: 192 meV per atom. Its crystal system is tetragonal. The total energy is -1.4172 eV per atom. The value obtained for the energy relative to the elements is 0.215 eV per atom.

=====

No. 11
This record from Alexandria via LeMat-Bulk describes Zn2HgAs after structural relaxation. The functional is GGA-PBE.

POSCAR file:
```
Zn2HgAs
1.0
3.331 -0.074 0.000
-1.012 3.175 0.000
0.000 0.000 7.623
As Hg Zn
1 1 2
direct
0.500 0.500 0.250 As
0.500 0.500 0.750 Hg
0.000 0.000 0.021 Zn
0.000 0.000 0.479 Zn
```

## Properties
Its crystal system is orthorhombic. The total energy is -1.6803 eV per atom. The value obtained for the energy relative to the elements is 0.195 eV per atom.

=====

No. 12
This record from Alexandria via LeMat-Bulk describes ZnHg2As after structural relaxation. The functional is GGA-PBE.

POSCAR file:
```
ZnHg2As
1.0
5.425 -0.123 0.000
-1.909 5.080 0.000
0.000 0.000 3.097
As Hg Zn
1 2 1
direct
0.000 0.500 0.500 As
0.000 0.000 0.000 Hg
0.500 0.500 0.000 Hg
0.500 0.000 0.500 Zn
```

## Properties
As for the energy above the most stable polymorph in this dataset: 268 meV per atom. Its crystal system is orthorhombic. The total energy is -1.3410 eV per atom. The value obtained for the energy relative to the elements is 0.291 eV per atom.